w) Material: KCrTe
Method: DFT, meta-GGA SCAN
State: PBEsol geometry

Symmetry: I4mm (107)
ρ (kg/m³): 3845

a = 6.757 Å, b = 6.757 Å, c = 6.757 Å
α = 146.33°, β = 146.33°, γ = 48.36°
Positions (direct):
1 K 0.000 0.000 0.000
2 Cr 0.265 0.265 0.000
3 Te 0.721 0.721 0.000

x) Material: KCrTe
Method: DFT, meta-GGA SCAN
State: PBEsol geometry

Symmetry: P-6m2 (187)
ρ (kg/m³): 3789

a = 4.689 Å, b = 4.689 Å, c = 5.033 Å
α = 90.00°, β = 90.00°, γ = 120.00°
Positions (direct):
1 K 0.000 0.000 0.000
2 Cr 0.667 0.333 0.500
3 Te 0.333 0.667 0.500

y) Material: KCrTe
Method: DFT, meta-GGA SCAN
State: PBEsol geometry

Symmetry: F-43m (216)
ρ (kg/m³): 3696

a = 5.179 Å, b = 5.179 Å, c = 5.179 Å
α = 60.00°, β = 60.00°, γ = 60.00°
Positions (direct):
1 K 0.000 0.000 0.000
2 Cr 0.250 0.250 0.250
3 Te 0.750 0.750 0.750

List of relative energies, unit kJ/mol of atoms: w) 23.6; x) 0.0; y) 76.3